1.
Here is an optimized crystal structure of Ca2MgTc from the Alexandria database. Energies are from PBE.

Output
Total DFT energy (no corrections) (eV per cell): -52.3
Magnetization (Bohr magnetons per cell): 4.1

a b c (Å): 8.2029 8.2029 6.1394
angles (deg): 90.00 90.00 90.00
Space group I-42d (No. 122)
Unique sites:
Ca1 0.2203 0.7500 0.1250 [8 per cell]
Mg1 0.0000 0.0000 0.5000 [4 per cell]
Tc1 0.0000 0.0000 0.0000 [4 per cell]

=====

2.
Here is an optimized crystal structure of Zr2WSe from the Alexandria database. Energies are from PBE.

Output
Total DFT energy (no corrections) (eV per cell): -67.3
Energy relative to the elements, uncorrected (eV/f.u.): -0.12
Magnetization (Bohr magnetons per cell): 0.0

a b c (Å): 3.9114 3.9114 10.0657
angles (deg): 90.00 90.00 90.00
Space group I-4m2 (No. 119)
Unique sites:
Zr1 0.0000 0.0000 0.0000 [2 per cell]
Zr2 0.0000 0.5000 0.2500 [2 per cell]
W1 0.0000 0.0000 0.5000 [2 per cell]
Se1 0.0000 0.5000 0.7500 [2 per cell]

=====

3.
Here is an optimized crystal structure of TcTeRu2 from the Alexandria database. Energies are from PBE.

Output
Total DFT energy (no corrections) (eV per cell): -60.8
Energy relative to the elements, uncorrected (eV/f.u.): 1.65
Magnetization (Bohr magnetons per cell): 0.0

a b c (Å): 3.1106 4.4856 9.1282
angles (deg): 90.00 90.00 90.00
Space group Imm2 (No. 44)
Unique sites:
Tc1 0.0000 0.0000 0.0000 [2 per cell]
Te1 0.0000 0.5000 0.7284 [2 per cell]
Ru1 0.0000 0.0000 0.4519 [2 per cell]
Ru2 0.0000 0.5000 0.2308 [2 per cell]

=====

4.
Here is an optimized crystal structure of GePd5Au2 from the Alexandria database. Energies are from PBE.

Output
Total DFT energy (no corrections) (eV per cell): -76.8
Magnetization (Bohr magnetons per cell): 0.0

a b c (Å): 2.8835 6.9220 13.3821
angles (deg): 90.00 90.00 90.00
Space group Immm (No. 71)
Unique sites:
Ge1 0.0000 0.0000 0.0000 [2 per cell]
Pd1 0.0000 0.2857 0.3914 [8 per cell]
Pd2 0.0000 0.5000 0.0000 [2 per cell]
Au1 0.0000 0.5000 0.2161 [4 per cell]

=====

5.
Here is an optimized crystal structure of SrTeF2 from the Alexandria database. Energies are from PBE.

Output
Total DFT energy (no corrections) (eV per cell): -41.7
Energy relative to the elements, uncorrected (eV/f.u.): -5.34
Energy relative to the lowest polymorph listed for this composition (eV per atom): 1.200
Magnetization (Bohr magnetons per cell): 4.0

a b c (Å): 3.7380 3.7380 27.1912
angles (deg): 90.00 90.00 120.00
Space group R-3m (No. 166, hexagonal axes)
Unique sites:
Sr1 0.0000 0.0000 0.0000 [3 per cell]
Te1 0.0000 0.0000 0.5000 [3 per cell]
F1 0.0000 0.0000 0.0806 [6 per cell]

=====

6.
Here is an optimized crystal structure of KV2Tc2 from the Alexandria database. Energies are from PBE.

Output
Total DFT energy (no corrections) (eV per cell): -73.8
Energy relative to the lowest polymorph listed for this composition (eV per atom): 0.042
Magnetization (Bohr magnetons per cell): 0.0

a b c (Å): 3.9761 3.9761 12.6364
angles (deg): 90.00 90.00 90.00
Space group I4/mmm (No. 139)
Unique sites:
K1 0.0000 0.0000 0.0000 [2 per cell]
V1 0.0000 0.5000 0.2500 [4 per cell]
Tc1 0.0000 0.0000 0.3631 [4 per cell]

=====

7.
Here is an optimized crystal structure of PrNdSiCl from the Alexandria database. Energies are from PBE.

Output
Total DFT energy (no corrections) (eV per cell): -64.7
Energy relative to the elements, uncorrected (eV/f.u.): -4.73
Magnetization (Bohr magnetons per cell): 0.0

a b c (Å): 4.2578 4.2578 21.0849
angles (deg): 90.00 90.00 120.00
Space group R3m (No. 160, hexagonal axes)
Unique sites:
Pr1 0.0000 0.0000 0.0000 [3 per cell]
Nd1 0.0000 0.0000 0.4825 [3 per cell]
Si1 0.0000 0.0000 0.7421 [3 per cell]
Cl1 0.0000 0.0000 0.2405 [3 per cell]

=====

8.
Here is an optimized crystal structure of SiRuAuS2 from the Alexandria database. Energies are from PBE.

Output
Total DFT energy (no corrections) (eV per cell): -21.6
Energy relative to the elements, uncorrected (eV/f.u.): 4.66
Magnetization (Bohr magnetons per cell): 3.1

a b c (Å): 4.4819 4.4819 4.8425
angles (deg): 90.00 90.00 90.00
Space group P4/mmm (No. 123)
Unique sites:
Si1 0.0000 0.0000 0.0000 [1 per cell]
Ru1 0.5000 0.5000 0.5000 [1 per cell]
Au1 0.0000 0.0000 0.5000 [1 per cell]
S1 0.0000 0.5000 0.0000 [2 per cell]